The following is a meta-GGA SCAN calculation of a crystal of Fe3Co5 relaxed with PBEsol, from the Alexandria database.

```
Fe3Co5
1.0
4.6312 0.0000 0.0000
0.0000 3.9144 0.0000
-0.9105 0.0000 4.7557
Fe Co
3 5
Cartesian
0.0000 0.0000 0.0000
-0.4494 0.0000 2.3717
2.8936 1.9572 2.9443
0.3278 1.9572 4.2015
0.8204 1.9572 1.8278
2.0831 0.0000 1.1525
1.6476 0.0000 3.5484
3.3614 1.9572 0.5550
```

Values from the calculation:
Symmetry ... Pm, No. 6
Energy relative to the elements ... -0.11 eV/atom



The following is a meta-GGA SCAN calculation of a crystal of NiAs3Ir relaxed with PBEsol, from the Alexandria database.

```
NiAs3Ir
1.0
4.4228 0.0000 0.0000
0.0000 4.4228 0.0000
0.0000 0.0000 4.4228
Ni As Ir
1 3 1
Cartesian
0.0000 0.0000 0.0000
0.0000 0.0000 2.2114
0.0000 2.2114 0.0000
2.2114 0.0000 0.0000
2.2114 2.2114 2.2114
```

Values from the calculation:
Symmetry ... Pm-3m, No. 221
Energy relative to the elements ... 0.77 eV/atom



The following is a meta-GGA SCAN calculation of a crystal of Li2Zn3Ge6O16 relaxed with PBEsol, from the Alexandria database.

```
Li2Zn3Ge6O16
1.0
8.2220 0.0000 0.0000
0.0000 8.2159 0.0000
-0.0296 0.0000 8.2255
Li Zn Ge O
4 6 12 32
Cartesian
1.0110 0.0000 1.0176
2.0450 5.1590 0.0111
6.1473 1.0510 8.2144
7.1814 4.1080 7.2080
-0.0156 7.1764 6.1926
2.0611 1.0247 4.0814
4.0823 7.2037 2.0585
4.1100 3.0957 6.1670
6.1312 5.1327 4.1441
8.2079 3.0684 2.0329
0.9709 2.0908 7.2126
1.0434 6.1906 3.0779
1.0559 4.1643 5.1903
3.0450 8.1621 7.1795
3.1170 4.1179 3.0987
3.1383 2.0606 1.0540
5.0541 6.1685 7.1715
5.0754 0.0099 5.1268
5.1474 4.0542 1.0460
7.1364 0.0564 3.0352
7.1489 2.0827 5.1476
7.2215 6.1987 1.0129
0.8195 6.1282 1.1968
0.8610 8.0372 3.1170
0.9016 5.9798 4.9665
0.9214 2.1605 5.2304
1.0547 3.9718 7.0076
1.1058 4.2208 3.2000
1.1772 2.0895 0.8319
1.1917 0.1537 7.1624
2.8666 6.0024 2.9858
2.9164 4.0087 4.9299
2.9357 1.9558 7.2935
2.9625 2.2320 2.8745
3.0984 0.2090 0.8870
3.1870 4.0169 1.1329
3.2142 6.3616 7.3392
3.2493 0.1162 5.3003
4.9431 4.2242 2.9252
4.9781 2.2536 0.8863
5.0054 8.1248 7.0926
5.0940 4.3170 7.3385
5.2299 6.3399 5.3510
5.2567 6.0637 0.9320
5.2760 8.1166 3.2956
5.3257 1.8944 5.2398
7.0007 4.2617 1.0631
7.0152 6.1974 7.3936
7.0866 0.1128 5.0255
7.1377 8.0797 1.2179
7.2709 6.2685 2.9952
7.2907 1.8719 3.2590
7.3313 3.9292 5.1085
7.3729 2.0202 7.0287
```

Values from the calculation:
Symmetry ... P2_1, No. 4
ΔE_f (raw) ... -1.859 eV per atom



The following is a meta-GGA SCAN calculation of a crystal of CrCuNi2 relaxed with PBEsol, from the Alexandria database.

```
CrCuNi2
1.0
1.2292 0.7097 8.2064
-1.2292 0.7097 8.2064
0.0000 -1.4194 8.2064
Cr Cu Ni
1 1 2
Cartesian
0.0000 0.0000 0.0000
0.0000 0.0000 6.0490
0.0000 0.0000 12.2091
0.0000 0.0000 18.3880
```

Values from the calculation:
Symmetry ... R3m, No. 160
Energy relative to the elements ... 0.16 eV/atom



The following is a meta-GGA SCAN calculation of a crystal of SrLiY2 relaxed with PBEsol, from the Alexandria database.

```
SrLiY2
1.0
2.0100 -2.8299 0.0000
2.0100 2.8299 0.0000
0.0000 0.0000 11.2508
Sr Li Y
1 1 2
Cartesian
0.0000 0.0000 0.0000
0.0000 0.0000 5.6254
2.0100 0.0000 3.1159
2.0100 0.0000 8.1349
```

Values from the calculation:
Offset from the most stable computed form ... 0.40 eV per formula unit
Symmetry ... Cmmm, No. 65
Energy relative to the elements ... 0.26 eV/atom



The following is a meta-GGA SCAN calculation of a crystal of MnSbRh2 relaxed with PBEsol, from the Alexandria database.

```
MnSbRh2
1.0
-2.0363 2.0363 3.5672
2.0363 -2.0363 3.5672
2.0363 2.0363 -3.5672
Mn Sb Rh
1 1 2
Cartesian
0.0000 0.0000 0.0000
0.0000 0.0000 3.5672
2.0363 0.0000 1.7836
0.0000 2.0363 1.7836
```

Values from the calculation:
Symmetry ... I4/mmm, No. 139
ΔE_f (raw) ... -0.572 eV per atom



The following is a meta-GGA SCAN calculation of a crystal of ErMgSn relaxed with PBEsol, from the Alexandria database.

```
ErMgSn
1.0
-2.1566 2.1566 7.8236
2.1566 -2.1566 7.8236
2.1566 2.1566 -7.8236
Er Mg Sn
2 2 2
Cartesian
0.0000 0.0000 2.6216
0.0000 0.0000 13.0256
2.1566 0.0000 0.0000
0.0000 2.1566 0.0000
0.0000 0.0000 5.6757
0.0000 0.0000 9.9716
```

Values from the calculation:
Symmetry ... I4/mmm, No. 139
Energy relative to the elements ... -0.63 eV/atom



The following is a meta-GGA SCAN calculation of a crystal of Ti4H7 relaxed with PBEsol, from the Alexandria database.

```
Ti4H7
1.0
4.3355 0.0000 0.0000
0.0000 4.3355 0.0000
0.0000 0.0000 4.3355
Ti H
4 7
Cartesian
1.0652 1.0652 3.2703
1.0652 3.2703 1.0652
3.2703 1.0652 1.0652
3.2703 3.2703 3.2703
0.0000 0.0000 2.1678
0.0000 2.1678 0.0000
0.0000 2.1678 2.1678
2.1678 0.0000 0.0000
2.1678 0.0000 2.1678
2.1678 2.1678 0.0000
2.1678 2.1678 2.1678
```

Values from the calculation:
Electronic total energy ... -8.56 eV/atom
Symmetry ... P-43m, No. 215



The following is a meta-GGA SCAN calculation of a crystal of CoNiIr2Os relaxed with PBEsol, from the Alexandria database.

```
CoNiIr2Os
1.0
4.3720 0.0000 0.0000
0.0000 4.3720 0.0000
0.0000 0.0000 4.2555
Co Ni Ir Os
1 1 2 1
Cartesian
0.0000 0.0000 0.0000
2.1860 2.1860 2.1277
0.0000 2.1860 0.0000
2.1860 0.0000 0.0000
0.0000 0.0000 2.1277
```

Values from the calculation:
Symmetry ... P4/mmm, No. 123
Energy relative to the elements ... 1.92 eV/atom



The following is a meta-GGA SCAN calculation of a crystal of BaCaIn relaxed with PBEsol, from the Alexandria database.

```
BaCaIn
1.0
-2.0121 2.0121 6.9211
2.0121 -2.0121 6.9211
2.0121 2.0121 -6.9211
Ba Ca In
1 1 1
Cartesian
0.0000 0.0000 0.0000
0.0000 0.0000 3.7743
0.0000 0.0000 9.1216
```

Values from the calculation:
Symmetry ... I4mm, No. 107
Energy relative to the elements ... -0.40 eV/atom



The following is a meta-GGA SCAN calculation of a crystal of La2HgRh relaxed with PBEsol, from the Alexandria database.

```
La2HgRh
1.0
3.6438 0.0000 0.0000
0.0000 3.6438 0.0000
0.0000 0.0000 7.5084
La Hg Rh
2 1 1
Cartesian
0.0000 0.0000 1.6529
0.0000 0.0000 5.8555
1.8219 1.8219 3.7542
1.8219 1.8219 0.0000
```

Values from the calculation:
Symmetry ... P4/mmm, No. 123
Energy relative to the elements ... -0.71 eV/atom



The following is a meta-GGA SCAN calculation of a crystal of NbSb2RuPt relaxed with PBEsol, from the Alexandria database.

```
NbSb2RuPt
1.0
5.1754 0.0000 0.0000
0.0000 5.1754 0.0000
0.0000 0.0000 4.5693
Nb Sb Ru Pt
1 2 1 1
Cartesian
0.0000 0.0000 0.0000
0.0000 2.5877 0.0000
2.5877 0.0000 0.0000
0.0000 0.0000 2.2847
2.5877 2.5877 2.2847
```

Values from the calculation:
Symmetry ... P4/mmm, No. 123
ΔE_f (raw) ... 1.287 eV per atom



The following is a meta-GGA SCAN calculation of a crystal of ZnCdPt relaxed with PBEsol, from the Alexandria database.

```
ZnCdPt
1.0
-1.4289 1.8414 4.5544
1.4289 -1.8414 4.5544
1.4289 1.8414 -4.5544
Zn Cd Pt
1 1 1
Cartesian
0.0000 0.0000 0.0000
0.0000 0.0000 6.2443
0.0000 0.0000 3.3700
```

Values from the calculation:
Symmetry ... Imm2, No. 44
Energy relative to the elements ... -0.35 eV/atom



The following is a meta-GGA SCAN calculation of a crystal of SrLa2Sn2 relaxed with PBEsol, from the Alexandria database.

```
SrLa2Sn2
1.0
-2.3938 2.3938 7.2464
2.3938 -2.3938 7.2464
2.3938 2.3938 -7.2464
Sr La Sn
1 2 2
Cartesian
0.0000 0.0000 0.0000
2.3938 0.0000 3.6232
0.0000 2.3938 3.6232
0.0000 0.0000 5.8359
0.0000 0.0000 8.6570
```

Values from the calculation:
Offset from the most stable computed form ... 0.94 eV per formula unit
Symmetry ... I4/mmm, No. 139
Energy relative to the elements ... -0.58 eV/atom



The following is a meta-GGA SCAN calculation of a crystal of Dy2Al6Si4Pt relaxed with PBEsol, from the Alexandria database.

```
Dy2Al6Si4Pt
1.0
2.0664 1.1931 16.7040
-2.0664 1.1931 16.7040
0.0000 -2.3861 16.7040
Dy Al Si Pt
2 6 4 1
Cartesian
0.0000 0.0000 3.3018
0.0000 0.0000 46.8102
0.0000 0.0000 9.1429
0.0000 0.0000 15.7767
0.0000 0.0000 22.5220
0.0000 0.0000 27.5900
0.0000 0.0000 34.3353
0.0000 0.0000 40.9691
0.0000 0.0000 11.7571
0.0000 0.0000 18.3111
0.0000 0.0000 31.8009
0.0000 0.0000 38.3549
0.0000 0.0000 25.0560
```

Values from the calculation:
Symmetry ... R-3m, No. 166
ΔE_f (raw) ... -0.597 eV per atom



The following is a meta-GGA SCAN calculation of a crystal of Cd2HgBr relaxed with PBEsol, from the Alexandria database.

```
Cd2HgBr
1.0
3.1630 -4.2057 0.0000
3.1630 4.2057 0.0000
-1.1749 0.0000 3.6614
Cd Hg Br
2 1 1
Cartesian
1.5815 2.1029 0.0000
1.5815 -2.1029 0.0000
-0.5874 0.0000 1.8307
2.5756 0.0000 1.8307
```

Values from the calculation:
Offset from the most stable computed form ... 0.28 eV per formula unit
Symmetry ... C2/m, No. 12
ΔE_f (raw) ... -0.130 eV per atom



The following is a meta-GGA SCAN calculation of a crystal of TiCrO2 relaxed with PBEsol, from the Alexandria database.

```
TiCrO2
1.0
0.0000 2.6019 2.6019
2.6019 0.0000 2.6019
2.6019 2.6019 0.0000
Ti Cr O
1 1 2
Cartesian
0.0000 0.0000 0.0000
2.6019 2.6019 2.6019
1.3010 1.3010 1.3010
3.9029 3.9029 3.9029
```

Values from the calculation:
Offset from the most stable computed form ... 1.80 eV per formula unit
Symmetry ... Fm-3m, No. 225
ΔE_f (raw) ... -1.688 eV per atom



The following is a meta-GGA SCAN calculation of a crystal of CdCN2 relaxed with PBEsol, from the Alexandria database.

```
CdCN2
1.0
1.7667 1.0200 4.8451
-1.7667 1.0200 4.8451
0.0000 -2.0400 4.8451
Cd C N
1 1 2
Cartesian
0.0000 0.0000 0.0000
0.0000 0.0000 7.2676
0.0000 0.0000 6.0322
0.0000 0.0000 8.5030
```

Values from the calculation:
Symmetry ... R-3m, No. 166
ΔE_f (raw) ... -0.014 eV per atom



The following is a meta-GGA SCAN calculation of a crystal of YCr2Se relaxed with PBEsol, from the Alexandria database.

```
YCr2Se
1.0
-1.9934 1.9934 4.4702
1.9934 -1.9934 4.4702
1.9934 1.9934 -4.4702
Y Cr Se
1 2 1
Cartesian
0.0000 0.0000 0.0000
0.0000 0.0000 4.4702
0.0000 1.9934 2.2351
1.9934 0.0000 2.2351
```

Values from the calculation:
Symmetry ... I-4m2, No. 119
ΔE_f (raw) ... 0.012 eV per atom



The following is a meta-GGA SCAN calculation of a crystal of TaNi3Te relaxed with PBEsol, from the Alexandria database.

```
TaNi3Te
1.0
4.5254 0.0000 0.0000
0.0000 4.5254 0.0000
0.0000 0.0000 4.5254
Ta Ni Te
1 3 1
Cartesian
0.0000 0.0000 0.0000
0.0000 0.0000 2.2627
0.0000 2.2627 0.0000
2.2627 0.0000 0.0000
2.2627 2.2627 2.2627
```

Values from the calculation:
Symmetry ... Pm-3m, No. 221
ΔE_f (raw) ... 1.255 eV per atom